A relaxed structure of MnNb2NiPb, computed with PBE.

The magnetic moment comes out at 0.001 μB per formula unit. The density of states at the Fermi level is 5.30 states/eV per cell. The value obtained for the energy relative to the elements is 713.8 meV per atom.

Geometry as CIF:
```
data_MnNb2NiPb
_space_group_name_H-M_alt 'P 4/m m m'
_space_group_IT_number 123
_space_group_name_Hall '-P 4 2'
_cell_length_a 4.595
_cell_length_b 4.595
_cell_length_c 4.482
_cell_angle_alpha 90.00
_cell_angle_beta 90.00
_cell_angle_gamma 90.00
loop_
_atom_site_label
_atom_site_type_symbol
_atom_site_fract_x
_atom_site_fract_y
_atom_site_fract_z
_atom_site_occupancy
Mn1 Mn 0.000 0.000 0.000 1
Nb1 Nb 0.000 0.500 0.000 1
Ni1 Ni 0.000 0.000 0.500 1
Pb1 Pb 0.500 0.500 0.500 1
```

A relaxed structure of Hf2BeCu2, computed with PBE.

The magnetic moment comes out at 0.000 μB per formula unit. The density of states at the Fermi level is 7.00 states/eV per cell. The value obtained for the energy relative to the elements is -42.8 meV per atom.

Geometry as CIF:
```
data_Hf2BeCu2
_space_group_name_H-M_alt 'P 4/m b m'
_space_group_IT_number 127
_space_group_name_Hall '-P 4 2ab'
_cell_length_a 6.077
_cell_length_b 6.077
_cell_length_c 4.246
_cell_angle_alpha 90.00
_cell_angle_beta 90.00
_cell_angle_gamma 90.00
loop_
_atom_site_label
_atom_site_type_symbol
_atom_site_fract_x
_atom_site_fract_y
_atom_site_fract_z
_atom_site_occupancy
Hf1 Hf 0.174 0.326 0.000 1
Be1 Be 0.000 0.000 0.500 1
Cu1 Cu 0.141 0.641 0.500 1
```